Record 1
Below is a relaxed structure of CeGa3Au3, with properties calculated at the PBE-GGA level.

Results
Formation energy = -0.363 eV/atom
Magnetization = 0.6 μB/f.u.
Uncorrected energy = -3.9127 eV per atom
E above lowest polymorph = 135 meV per atom
Fermi-level density of states = 5.72 states/eV/f.u.

Cell lengths 8.2127, 8.2127, 16.0575 Å; angles 90.00, 90.00, 120.00 degrees
Space group R-3 (No. 148, hexagonal axes)
Symmetry-distinct sites (fractional):
1 Ce 0.0000 0.0000 0.1661 [6 per cell]
2 Ga 0.0010 0.2985 0.4237 [18 per cell]
3 Au 0.0019 0.3418 0.5984 [18 per cell]

=====

Record 2
Below is a relaxed structure of CeGaAu4, with properties calculated at the PBE-GGA level.

Results
Formation energy = -0.378 eV/atom
Magnetization = 0.9 μB/f.u.
Uncorrected energy = -4.0562 eV per atom
E above lowest polymorph = 50 meV per atom
Fermi-level density of states = 8.43 states/eV/f.u.

Cell lengths 5.085, 13.959, 7.303 Å; angles 90.00, 90.00, 90.00 degrees
Space group Cmcm (No. 63)
Symmetry-distinct sites (fractional):
1 Ce 0.000 0.118 0.250 [4 per cell]
2 Ga 0.000 0.364 0.250 [4 per cell]
3 Au 0.000 0.094 0.750 [4 per cell]
4 Au 0.000 0.286 0.564 [8 per cell]
5 Au 0.000 0.500 0.000 [4 per cell]

=====

- Among the records above, which one has the highest Fermi-level density of states?
  CeGaAu4

=====

Please write out number 2 again, unchanged.
Below is a relaxed structure of CeGaAu4, with properties calculated at the PBE-GGA level.

Results
Formation energy = -0.378 eV/atom
Magnetization = 0.9 μB/f.u.
Uncorrected energy = -4.0562 eV per atom
E above lowest polymorph = 50 meV per atom
Fermi-level density of states = 8.43 states/eV/f.u.

Cell lengths 5.085, 13.959, 7.303 Å; angles 90.00, 90.00, 90.00 degrees
Space group Cmcm (No. 63)
Symmetry-distinct sites (fractional):
1 Ce 0.000 0.118 0.250 [4 per cell]
2 Ga 0.000 0.364 0.250 [4 per cell]
3 Au 0.000 0.094 0.750 [4 per cell]
4 Au 0.000 0.286 0.564 [8 per cell]
5 Au 0.000 0.500 0.000 [4 per cell]

=====

- Which formula does entry 1 have?
  CeGa3Au3

=====

- What is the formation energy in the second record?
  -0.378 eV/atom